No. 1
The following is a PBE calculation of an optimized crystal structure of NiIr, from Alexandria via LeMat-Bulk.

Summary:
Energy relative to the elements: 0.040 eV per atom
Size of the total moment: 0.19 μB/atom
D(E_F): 6.38 states/eV per cell

Lattice parameters (Å, degrees): 2.703 2.703 7.034 90.00 90.00 90.00
Sites, in units of the cell vectors:
1 Ni 0.250 0.250 0.114
2 Ni 0.750 0.750 0.886
3 Ir 0.250 0.250 0.635
4 Ir 0.750 0.750 0.365

No. 2
The following is a PBE calculation of an optimized crystal structure of Cr2RePb, from Alexandria via LeMat-Bulk.

Summary:
Energy relative to the elements: 0.795 eV per atom
Size of the total moment: 1.25 μB/atom
D(E_F): 12.36 states/eV per cell

Lattice parameters (Å, degrees): 6.410 6.410 6.410 90.00 90.00 90.00
Sites, in units of the cell vectors:
1 Cr 0.000 0.000 0.000
2 Cr 0.000 0.500 0.500
3 Cr 0.250 0.250 0.250
4 Cr 0.250 0.750 0.750
5 Cr 0.500 0.000 0.500
6 Cr 0.500 0.500 0.000
7 Cr 0.750 0.250 0.750
8 Cr 0.750 0.750 0.250
9 Re 0.000 0.000 0.500
10 Re 0.000 0.500 0.000
11 Re 0.500 0.000 0.000
12 Re 0.500 0.500 0.500
13 Pb 0.250 0.250 0.750
14 Pb 0.250 0.750 0.250
15 Pb 0.750 0.250 0.250
16 Pb 0.750 0.750 0.750